Below is GdTlInHg after structural relaxation, with properties calculated at the PBE level.

* spin magnetization: 6.92 μB per formula unit
* energy of formation: -1.00 eV/f.u.
* crystal system: cubic

Cell lengths 5.292, 5.292, 5.292 Å; angles 60.00, 60.00, 60.00 degrees
Element x y z (fractional)
Tl (0.500, 0.500, 0.500)
Gd (0.250, 0.250, 0.250)
Hg (0.000, 0.000, 0.000)
In (0.750, 0.750, 0.750)